# PmGa4Pt2 PBE-GGA optimized geometry
# * energy relative to the lowest polymorph listed for this composition: 0.000 eV/atom
# * ΔE_f: -826 meV per atom
data_PmGa4Pt2
_cell_length_a 17.549
_cell_length_b 4.342
_cell_length_c 6.665
_cell_angle_alpha 90.00
_cell_angle_beta 90.00
_cell_angle_gamma 90.00
_symmetry_space_group_name_H-M 'P n m a'
_symmetry_Int_Tables_number 62
loop_
_symmetry_equiv_pos_as_xyz
'x,y,z'
'-x,-y,-z'
'-x+1/2,-y,z+1/2'
'x+1/2,y,-z+1/2'
'x+1/2,-y+1/2,-z+1/2'
'-x+1/2,y+1/2,z+1/2'
'-x,y+1/2,-z'
'x,-y+1/2,z'
loop_
_atom_site_label
_atom_site_type_symbol
_atom_site_fract_x
_atom_site_fract_y
_atom_site_fract_z
Pm1 Pm 0.140 0.250 0.011
Ga1 Ga 0.037 0.750 0.844
Ga2 Ga 0.071 0.250 0.487
Ga3 Ga 0.184 0.750 0.319
Ga4 Ga 0.189 0.750 0.726
Pt1 Pt 0.036 0.750 0.252
Pt2 Pt 0.216 0.250 0.526



# CaMgSi PBE-GGA optimized geometry
# * raw formation energy: -0.238 eV/atom
data_CaMgSi
_cell_length_a 4.5445
_cell_length_b 4.5445
_cell_length_c 4.0649
_cell_angle_alpha 90.00
_cell_angle_beta 90.00
_cell_angle_gamma 120.00
_symmetry_space_group_name_H-M 'P 3 m 1'
_symmetry_Int_Tables_number 156
loop_
_symmetry_equiv_pos_as_xyz
'x,y,z'
'-y,x-y,z'
'-x+y,-x,z'
'-y,-x,z'
'-x+y,y,z'
'x,x-y,z'
loop_
_atom_site_label
_atom_site_type_symbol
_atom_site_fract_x
_atom_site_fract_y
_atom_site_fract_z
Ca1 Ca 0.0000 0.0000 0.0000
Mg1 Mg 0.6667 0.3333 0.4999
Si1 Si 0.3333 0.6667 0.5016



# Cs3Cd2Br8 PBE-GGA optimized geometry
# * raw formation energy: -1.187 eV/atom
data_Cs3Cd2Br8
_cell_length_a 7.7793
_cell_length_b 7.7793
_cell_length_c 31.5693
_cell_angle_alpha 90.00
_cell_angle_beta 90.00
_cell_angle_gamma 120.00
_symmetry_space_group_name_H-M 'R -3 m'
_symmetry_Int_Tables_number 166
_symmetry_space_group_name_Hall '-R 3 2"'
loop_
_atom_site_label
_atom_site_type_symbol
_atom_site_fract_x
_atom_site_fract_y
_atom_site_fract_z
Cs1 Cs 0.0000 0.0000 0.0000
Cs2 Cs 0.0000 0.0000 0.2067
Cd1 Cd 0.0000 0.0000 0.4022
Br1 Br 0.0000 0.0000 0.3205
Br2 Br 0.0227 0.5114 0.7698



# Th2SnSe2Br4 PBE-GGA optimized geometry
# * raw formation energy: -0.983 eV/atom
data_Th2SnSe2Br4
_cell_length_a 3.8290
_cell_length_b 3.8290
_cell_length_c 23.1399
_cell_angle_alpha 90.00
_cell_angle_beta 90.00
_cell_angle_gamma 120.00
_symmetry_space_group_name_H-M 'P 3 m 1'
_symmetry_Int_Tables_number 156
loop_
_symmetry_equiv_pos_as_xyz
'x,y,z'
'-y,x-y,z'
'-x+y,-x,z'
'-y,-x,z'
'-x+y,y,z'
'x,x-y,z'
loop_
_atom_site_label
_atom_site_type_symbol
_atom_site_fract_x
_atom_site_fract_y
_atom_site_fract_z
Th1 Th 0.0000 0.0000 0.0000
Th2 Th 0.3333 0.6667 0.3479
Sn1 Sn 0.3333 0.6667 0.6859
Se1 Se 0.0000 0.0000 0.6115
Se2 Se 0.0000 0.0000 0.7606
Br1 Br 0.0000 0.0000 0.2574
Br2 Br 0.0000 0.0000 0.4376
Br3 Br 0.3333 0.6667 0.0906
Br4 Br 0.3333 0.6667 0.9105



# KBi2Ir PBE-GGA optimized geometry
# * energy relative to the lowest polymorph listed for this composition: 0.000 eV/atom
# * ΔE_f: -83 meV per atom
data_KBi2Ir
_cell_length_a 4.3122
_cell_length_b 4.3122
_cell_length_c 23.4563
_cell_angle_alpha 90.00
_cell_angle_beta 90.00
_cell_angle_gamma 120.00
_symmetry_space_group_name_H-M 'R -3 m'
_symmetry_Int_Tables_number 166
_symmetry_space_group_name_Hall '-R 3 2"'
loop_
_atom_site_label
_atom_site_type_symbol
_atom_site_fract_x
_atom_site_fract_y
_atom_site_fract_z
K1 K 0.0000 0.0000 0.0000
Bi1 Bi 0.0000 0.0000 0.2196
Ir1 Ir 0.0000 0.0000 0.5000



# Zr2TiCuP PBE-GGA optimized geometry
# * ΔE_f: -21 meV per atom
data_Zr2TiCuP
_cell_length_a 4.947
_cell_length_b 4.947
_cell_length_c 4.196
_cell_angle_alpha 90.00
_cell_angle_beta 90.00
_cell_angle_gamma 90.00
_symmetry_space_group_name_H-M 'P 4/m m m'
_symmetry_Int_Tables_number 123
_symmetry_space_group_name_Hall '-P 4 2'
loop_
_atom_site_label
_atom_site_type_symbol
_atom_site_fract_x
_atom_site_fract_y
_atom_site_fract_z
Zr1 Zr 0.000 0.500 0.000
Ti1 Ti 0.000 0.000 0.500
Cu1 Cu 0.500 0.500 0.500
P1 P 0.500 0.500 0.000



VASP energy
In order: -4.9606 -3.2448 -2.5545 -4.5947 -4.5134 -6.9204
Unit: eV/atom